! NbAlSbTe2, optimized geometry, DFT PBE-GGA; values from VASP
&SYSTEM
  ibrav = 0, nat = 5, ntyp = 4
/
ATOMIC_SPECIES
Sb 121.76 Sb.upf
Nb 92.91 Nb.upf
Te 127.60 Te.upf
Al 26.98 Al.upf
CELL_PARAMETERS angstrom
-4.0511 -2.1932 -2.4893
-2.4019 -0.7713 4.5885
-2.2288 4.5693 -0.3987
ATOMIC_POSITIONS crystal
Sb 0.0000 0.0000 0.5000
Nb 0.5000 0.5000 0.5000
Te 0.0000 0.5000 0.0000
Te 0.5000 0.0000 0.0000
Al 0.0000 0.0000 0.0000
! Energy relative to the elements, uncorrected: 0.914 eV per atom
! Calculated volume: 139.82 Å³ per cell
! N(E_F): 7.1 states/eV/f.u.
! Energy above the lowest structure with this stoichiometry: 574 meV/atom
! Symmetry: No. 123

---

! LiNd5Hg6, optimized geometry, DFT PBE-GGA; values from VASP
&SYSTEM
  ibrav = 0, nat = 12, ntyp = 3
/
ATOMIC_SPECIES
Nd 144.24 Nd.upf
Hg 200.59 Hg.upf
Li 6.94 Li.upf
CELL_PARAMETERS angstrom
-1.9634 -1.0311 4.8556
5.6413 -7.0918 -2.1649
3.2228 8.7390 0.2188
ATOMIC_POSITIONS crystal
Nd 0.5000 0.1636 0.8364
Nd 0.0000 0.3318 0.6682
Nd 0.5000 0.5000 0.5000
Nd 0.0000 0.6682 0.3318
Nd 0.5000 0.8364 0.1636
Hg 0.2401 0.0810 0.3991
Hg 0.7599 0.6009 0.9190
Hg 0.7377 0.2380 0.2380
Hg 0.2623 0.7620 0.7620
Hg 0.2401 0.3991 0.0810
Hg 0.7599 0.9190 0.6009
Li 0.0000 0.0000 0.0000
! Calculated volume: 324.72 Å³ per cell
! N(E_F): 12.1 states/eV/f.u.
! Symmetry: No. 12
! VASP energy: -32.94 eV per formula unit